Record 1
DFT (PBE) results for a geometry-optimized Be2In2Br structure.

- D(E_F) (states/eV per atom) = 0.45
- formation energy (no corrections) (kJ/mol of formula units) = 167
- polymorph energy (0 for the lowest one) (meV per atom) = 0.0
- V (Å³/cell) = 101.77
- DFT total energy (eV/atom) = -2.575

a = 3.3755 Å, b = 3.3755 Å, c = 9.2457 Å
α = 79.48°, β = 79.48°, γ = 90.00°
Positions (direct):
1 In 0.6269 0.6269 0.7462
2 In 0.3731 0.3731 0.2538
3 Be 0.7500 0.2500 0.5000
4 Be 0.2500 0.7500 0.5000
5 Br 0.0000 0.0000 0.0000



Record 2
DFT (PBE) results for a geometry-optimized BeInBr2 structure.

- D(E_F) (states/eV per atom) = 0.24
- formation energy (no corrections) (kJ/mol of formula units) = -157
- polymorph energy (0 for the lowest one) (meV per atom) = 5.8
- V (Å³/cell) = 111.37
- DFT total energy (eV/atom) = -2.860

a = 3.5670 Å, b = 5.7471 Å, c = 6.1562 Å
α = 61.95°, β = 90.00°, γ = 90.00°
Positions (direct):
1 Br 0.0000 0.9174 0.8764
2 Br 0.5000 0.3049 0.2012
3 In 0.0000 0.6086 0.5386
4 Be 0.5000 0.6689 0.8839



Record 3
DFT (PBE) results for a geometry-optimized Be4InBr structure.

- D(E_F) (states/eV per atom) = 0.16
- formation energy (no corrections) (kJ/mol of formula units) = 381
- V (Å³/cell) = 85.91
- DFT total energy (eV/atom) = -2.561

a = 4.9529 Å, b = 4.9529 Å, c = 4.9529 Å
α = 60.00°, β = 60.00°, γ = 60.00°
Positions (direct):
1 Be 0.8984 0.3672 0.3672
2 Be 0.3672 0.3672 0.3672
3 Be 0.3672 0.3672 0.8984
4 Be 0.3672 0.8984 0.3672
5 In 0.0000 0.0000 0.0000
6 Br 0.7500 0.7500 0.7500



Record 4
DFT (PBE) results for a geometry-optimized Be3InBr structure.

- D(E_F) (states/eV per atom) = 0.23
- formation energy (no corrections) (kJ/mol of formula units) = 631
- polymorph energy (0 for the lowest one) (meV per atom) = 423.4
- V (Å³/cell) = 93.12
- DFT total energy (eV/atom) = -1.811

a = 4.5325 Å, b = 4.5325 Å, c = 4.5325 Å
α = 90.00°, β = 90.00°, γ = 90.00°
Positions (direct):
1 In 0.5000 0.5000 0.5000
2 Be 0.0000 0.5000 0.0000
3 Be 0.0000 0.0000 0.5000
4 Be 0.5000 0.0000 0.0000
5 Br 0.0000 0.0000 0.0000



Record 5
DFT (PBE) results for a geometry-optimized BeInBr2 structure.

- D(E_F) (states/eV per atom) = 0.19
- formation energy (no corrections) (kJ/mol of formula units) = -96
- polymorph energy (0 for the lowest one) (meV per atom) = 165.5
- V (Å³/cell) = 113.00
- DFT total energy (eV/atom) = -2.700

a = 3.8862 Å, b = 3.8862 Å, c = 9.3323 Å
α = 90.00°, β = 90.00°, γ = 126.70°
Positions (direct):
1 Be 0.5000 0.5000 0.7552
2 Br 0.0000 0.0000 0.9057
3 Br 0.5000 0.5000 0.3051
4 In 0.0000 0.0000 0.5340



Record 6
DFT (PBE) results for a geometry-optimized BeInBr2 structure.

- D(E_F) (states/eV per atom) = 0.36
- formation energy (no corrections) (kJ/mol of formula units) = 92
- polymorph energy (0 for the lowest one) (meV per atom) = 651.9
- V (Å³/cell) = 119.09
- DFT total energy (eV/atom) = -2.214

a = 4.2589 Å, b = 6.8120 Å, c = 4.1050 Å
α = 90.00°, β = 90.00°, γ = 90.00°
Positions (direct):
1 Be 0.0000 0.5000 0.5000
2 In 0.5000 0.0000 0.5000
3 Br 0.5000 0.5000 0.0000
4 Br 0.0000 0.0000 0.0000